Version w
DFT (PBEsol) results for crystalline ZrTcAs2 at its relaxed geometry.

The structure in CIF format:
```
data_ZrTcAs2
_space_group_name_H-M_alt 'R -3 m'
_space_group_IT_number 166
_space_group_name_Hall '-R 3 2"'
_cell_length_a 3.0997
_cell_length_b 3.0997
_cell_length_c 24.1720
_cell_angle_alpha 90.00
_cell_angle_beta 90.00
_cell_angle_gamma 120.00
loop_
_atom_site_label
_atom_site_type_symbol
_atom_site_fract_x
_atom_site_fract_y
_atom_site_fract_z
Zr1 Zr 0.0000 0.0000 0.0000
Tc1 Tc 0.0000 0.0000 0.5000
As1 As 0.0000 0.0000 0.2408
```

=====

Version x
DFT (PBEsol) results for crystalline ZrTcAs2 at its relaxed geometry.

The structure in CIF format:
```
data_ZrTcAs2
_space_group_name_H-M_alt 'I -4 2 d'
_space_group_IT_number 122
_space_group_name_Hall 'I -4 2bw'
_cell_length_a 3.989
_cell_length_b 3.989
_cell_length_c 18.028
_cell_angle_alpha 90.00
_cell_angle_beta 90.00
_cell_angle_gamma 90.00
loop_
_atom_site_label
_atom_site_type_symbol
_atom_site_fract_x
_atom_site_fract_y
_atom_site_fract_z
Zr1 Zr 0.000 0.000 0.000
Tc1 Tc 0.000 0.000 0.500
As1 As 0.215 0.250 0.625
```

=====

version w takes first place; second place is 17.0 kJ/mol of atoms up.

=====

Version w
DFT (PBEsol) results for crystalline TlTeAs at its relaxed geometry.

The structure in CIF format:
```
data_TlTeAs
_space_group_name_H-M_alt 'F -4 3 m'
_space_group_IT_number 216
_space_group_name_Hall 'F -4 2 3'
_cell_length_a 7.130
_cell_length_b 7.130
_cell_length_c 7.130
_cell_angle_alpha 90.00
_cell_angle_beta 90.00
_cell_angle_gamma 90.00
loop_
_atom_site_label
_atom_site_type_symbol
_atom_site_fract_x
_atom_site_fract_y
_atom_site_fract_z
Tl1 Tl 0.000 0.000 0.000
Te1 Te 0.250 0.250 0.750
As1 As 0.000 0.000 0.500
```

=====

Version x
DFT (PBEsol) results for crystalline TlTeAs at its relaxed geometry.

The structure in CIF format:
```
data_TlTeAs
_space_group_name_H-M_alt 'P -6 m 2'
_space_group_IT_number 187
_space_group_name_Hall 'P -6 2'
_cell_length_a 5.3394
_cell_length_b 5.3394
_cell_length_c 3.0971
_cell_angle_alpha 90.00
_cell_angle_beta 90.00
_cell_angle_gamma 120.00
loop_
_atom_site_label
_atom_site_type_symbol
_atom_site_fract_x
_atom_site_fract_y
_atom_site_fract_z
Tl1 Tl 0.0000 0.0000 0.0000
Te1 Te 0.6667 0.3333 0.5000
As1 As 0.3333 0.6667 0.5000
```

=====

version x takes first place; second place is 22.6 kJ/mol of atoms up.

=====

Version w
DFT (PBEsol) results for crystalline Tl5As at its relaxed geometry.

The structure in CIF format:
```
data_Tl5As
_space_group_name_H-M_alt 'C 1 2/m 1'
_space_group_IT_number 12
_cell_length_a 11.820
_cell_length_b 3.988
_cell_length_c 7.171
_cell_angle_alpha 90.00
_cell_angle_beta 106.21
_cell_angle_gamma 90.00
loop_
_space_group_symop_operation_xyz
'x,y,z'
'-x,-y,-z'
'-x,y,-z'
'x,-y,z'
'x+1/2,y+1/2,z'
'-x+1/2,-y+1/2,-z'
'-x+1/2,y+1/2,-z'
'x+1/2,-y+1/2,z'
loop_
_atom_site_label
_atom_site_type_symbol
_atom_site_fract_x
_atom_site_fract_y
_atom_site_fract_z
Tl1 Tl 0.000 0.000 0.000
Tl2 Tl 0.147 0.500 0.349
Tl3 Tl 0.164 0.500 0.812
As1 As 0.000 0.000 0.500
```

=====

Version x
DFT (PBEsol) results for crystalline Tl5As at its relaxed geometry.

The structure in CIF format:
```
data_Tl5As
_space_group_name_H-M_alt 'P -6 2 m'
_space_group_IT_number 189
_space_group_name_Hall 'P -6 -2'
_cell_length_a 6.0432
_cell_length_b 6.0432
_cell_length_c 5.1478
_cell_angle_alpha 90.00
_cell_angle_beta 90.00
_cell_angle_gamma 120.00
loop_
_atom_site_label
_atom_site_type_symbol
_atom_site_fract_x
_atom_site_fract_y
_atom_site_fract_z
Tl1 Tl 0.0000 0.6860 0.0000
Tl2 Tl 0.3333 0.6667 0.5000
As1 As 0.0000 0.0000 0.5000
```

=====

version w takes first place; second place is 3.8 kJ/mol of atoms up.

=====

Version w
DFT (PBEsol) results for crystalline Tl5As at its relaxed geometry.

The structure in CIF format:
```
data_Tl5As
_space_group_name_H-M_alt 'A m m 2'
_space_group_IT_number 38
_cell_length_a 5.474
_cell_length_b 3.416
_cell_length_c 17.282
_cell_angle_alpha 90.00
_cell_angle_beta 90.00
_cell_angle_gamma 90.00
loop_
_space_group_symop_operation_xyz
'x,y,z'
'-x,-y,z'
'-x,y,z'
'x,-y,z'
'x,y+1/2,z+1/2'
'-x,-y+1/2,z+1/2'
'-x,y+1/2,z+1/2'
'x,-y+1/2,z+1/2'
loop_
_atom_site_label
_atom_site_type_symbol
_atom_site_fract_x
_atom_site_fract_y
_atom_site_fract_z
Tl1 Tl 0.000 0.000 0.000
Tl2 Tl 0.000 0.000 0.311
Tl3 Tl 0.500 0.000 0.105
Tl4 Tl 0.500 0.000 0.430
Tl5 Tl 0.500 0.000 0.764
As1 As 0.000 0.000 0.661
```

=====

Version x
DFT (PBEsol) results for crystalline Tl5As at its relaxed geometry.

The structure in CIF format:
```
data_Tl5As
_space_group_name_H-M_alt 'C m m m'
_space_group_IT_number 65
_space_group_name_Hall '-C 2 2'
_cell_length_a 4.838
_cell_length_b 13.803
_cell_length_c 4.856
_cell_angle_alpha 90.00
_cell_angle_beta 90.00
_cell_angle_gamma 90.00
loop_
_atom_site_label
_atom_site_type_symbol
_atom_site_fract_x
_atom_site_fract_y
_atom_site_fract_z
Tl1 Tl 0.000 0.000 0.000
Tl2 Tl 0.000 0.158 0.500
Tl3 Tl 0.000 0.342 0.000
As1 As 0.000 0.500 0.500
```

=====

version x takes first place; second place is 3.2 kJ/mol of atoms up.

=====

Version w
DFT (PBEsol) results for crystalline TlAsW2 at its relaxed geometry.

The structure in CIF format:
```
data_TlAsW2
_space_group_name_H-M_alt 'P 1 2/m 1'
_space_group_IT_number 10
_cell_length_a 3.007
_cell_length_b 3.979
_cell_length_c 6.196
_cell_angle_alpha 90.00
_cell_angle_beta 100.07
_cell_angle_gamma 90.00
loop_
_space_group_symop_operation_xyz
'x,y,z'
'-x,-y,-z'
'-x,y,-z'
'x,-y,z'
loop_
_atom_site_label
_atom_site_type_symbol
_atom_site_fract_x
_atom_site_fract_y
_atom_site_fract_z
Tl1 Tl 0.000 0.000 0.000
As1 As 0.500 0.000 0.500
W1 W 0.228 0.500 0.689
```

=====

Version x
DFT (PBEsol) results for crystalline TlAsW2 at its relaxed geometry.

The structure in CIF format:
```
data_TlAsW2
_space_group_name_H-M_alt 'F -4 3 m'
_space_group_IT_number 216
_space_group_name_Hall 'F -4 2 3'
_cell_length_a 6.548
_cell_length_b 6.548
_cell_length_c 6.548
_cell_angle_alpha 90.00
_cell_angle_beta 90.00
_cell_angle_gamma 90.00
loop_
_atom_site_label
_atom_site_type_symbol
_atom_site_fract_x
_atom_site_fract_y
_atom_site_fract_z
Tl1 Tl 0.000 0.000 0.000
As1 As 0.250 0.250 0.250
W1 W 0.000 0.000 0.500
W2 W 0.250 0.250 0.750
```

=====

version w takes first place; second place is 5.6 kJ/mol of atoms up.

=====

Version w
DFT (PBEsol) results for crystalline TlAs2W at its relaxed geometry.

The structure in CIF format:
```
data_TlAs2W
_space_group_name_H-M_alt 'C m m m'
_space_group_IT_number 65
_space_group_name_Hall '-C 2 2'
_cell_length_a 5.764
_cell_length_b 7.543
_cell_length_c 3.370
_cell_angle_alpha 90.00
_cell_angle_beta 90.00
_cell_angle_gamma 90.00
loop_
_atom_site_label
_atom_site_type_symbol
_atom_site_fract_x
_atom_site_fract_y
_atom_site_fract_z
Tl1 Tl 0.000 0.000 0.000
As1 As 0.250 0.250 0.500
W1 W 0.000 0.500 0.000
```

=====

Version x
DFT (PBEsol) results for crystalline TlAs2W at its relaxed geometry.

The structure in CIF format:
```
data_TlAs2W
_space_group_name_H-M_alt 'I 4/m m m'
_space_group_IT_number 139
_space_group_name_Hall '-I 4 2'
_cell_length_a 4.516
_cell_length_b 4.516
_cell_length_c 7.180
_cell_angle_alpha 90.00
_cell_angle_beta 90.00
_cell_angle_gamma 90.00
loop_
_atom_site_label
_atom_site_type_symbol
_atom_site_fract_x
_atom_site_fract_y
_atom_site_fract_z
Tl1 Tl 0.000 0.000 0.000
As1 As 0.000 0.500 0.250
W1 W 0.000 0.000 0.500
```

=====

version x takes first place; second place is 2.3 kJ/mol of atoms up.